This record from OQMD via LeMat-Bulk describes a relaxed structure of AgSnAs2. The functional is PBE.

E_tot, eV/atom: -3.736

Structure (CIF):
```
data_AgSnAs2
_chemical_formula_sum 'Ag4 Sn4 As8'
_symmetry_space_group_name_H-M 'F -4 3 m'
_symmetry_Int_Tables_number 216
_symmetry_space_group_name_Hall 'F -4 2 3'
_cell_length_a 6.954
_cell_length_b 6.954
_cell_length_c 6.954
_cell_angle_alpha 90.00
_cell_angle_beta 90.00
_cell_angle_gamma 90.00
loop_
_atom_site_label
_atom_site_type_symbol
_atom_site_fract_x
_atom_site_fract_y
_atom_site_fract_z
Ag1 Ag 0.000 0.000 0.000
Sn1 Sn 0.250 0.250 0.750
As1 As 0.000 0.000 0.500
As2 As 0.250 0.250 0.250
```

=====

This record from OQMD via LeMat-Bulk describes a relaxed structure of Ag2Sn4As. The functional is PBE.

E_tot, eV/atom: -3.386

Structure (CIF):
```
data_Ag2Sn4As
_chemical_formula_sum 'Ag4 Sn8 As2'
_symmetry_space_group_name_H-M 'I 4/m m m'
_symmetry_Int_Tables_number 139
_symmetry_space_group_name_Hall '-I 4 2'
_cell_length_a 5.323
_cell_length_b 5.323
_cell_length_c 13.910
_cell_angle_alpha 90.00
_cell_angle_beta 90.00
_cell_angle_gamma 90.00
loop_
_atom_site_label
_atom_site_type_symbol
_atom_site_fract_x
_atom_site_fract_y
_atom_site_fract_z
Ag1 Ag 0.000 0.000 0.102
Sn1 Sn 0.000 0.000 0.296
Sn2 Sn 0.000 0.500 0.000
As1 As 0.000 0.000 0.500
```

=====

This record from OQMD via LeMat-Bulk describes a relaxed structure of SrAg2As2. The functional is PBE.

Distance to the lowest polymorph of the same formula, meV/atom: 19.9

Structure (CIF):
```
data_SrAg2As2
_chemical_formula_sum 'Sr2 Ag4 As4'
_symmetry_space_group_name_H-M 'P 4/n m m'
_symmetry_Int_Tables_number 129
_cell_length_a 4.455
_cell_length_b 4.455
_cell_length_c 11.222
_cell_angle_alpha 90.00
_cell_angle_beta 90.00
_cell_angle_gamma 90.00
loop_
_symmetry_equiv_pos_as_xyz
'x,y,z'
'-x,-y,-z'
'-y+1/2,x,z'
'y+1/2,-x,-z'
'-x+1/2,-y+1/2,z'
'x+1/2,y+1/2,-z'
'y,-x+1/2,z'
'-y,x+1/2,-z'
'x+1/2,-y,-z'
'-x+1/2,y,z'
'-y,-x,-z'
'y,x,z'
'-x,y+1/2,-z'
'x,-y+1/2,z'
'y+1/2,x+1/2,-z'
'-y+1/2,-x+1/2,z'
loop_
_atom_site_label
_atom_site_type_symbol
_atom_site_fract_x
_atom_site_fract_y
_atom_site_fract_z
Sr1 Sr 0.250 0.250 0.245
Ag1 Ag 0.250 0.250 0.634
Ag2 Ag 0.250 0.750 0.000
As1 As 0.250 0.250 0.861
As2 As 0.250 0.750 0.500
```

=====

This record from OQMD via LeMat-Bulk describes a relaxed structure of SrAgAs. The functional is PBE.

E_tot, eV/atom: -3.852

Structure (CIF):
```
data_SrAgAs
_chemical_formula_sum 'Sr2 Ag2 As2'
_symmetry_space_group_name_H-M 'P 63/m m c'
_symmetry_Int_Tables_number 194
_symmetry_space_group_name_Hall '-P 6c 2c'
_cell_length_a 4.5587
_cell_length_b 4.5587
_cell_length_c 8.4225
_cell_angle_alpha 90.00
_cell_angle_beta 90.00
_cell_angle_gamma 120.00
loop_
_atom_site_label
_atom_site_type_symbol
_atom_site_fract_x
_atom_site_fract_y
_atom_site_fract_z
Sr1 Sr 0.0000 0.0000 0.0000
Ag1 Ag 0.3333 0.6667 0.2500
As1 As 0.3333 0.6667 0.7500
```

=====

This record from OQMD via LeMat-Bulk describes a relaxed structure of SrAgAs2. The functional is PBE.

E_tot, eV/atom: -3.583

Structure (CIF):
```
data_SrAgAs2
_chemical_formula_sum 'Sr4 Ag4 As8'
_symmetry_space_group_name_H-M 'F -4 3 m'
_symmetry_Int_Tables_number 216
_symmetry_space_group_name_Hall 'F -4 2 3'
_cell_length_a 7.175
_cell_length_b 7.175
_cell_length_c 7.175
_cell_angle_alpha 90.00
_cell_angle_beta 90.00
_cell_angle_gamma 90.00
loop_
_atom_site_label
_atom_site_type_symbol
_atom_site_fract_x
_atom_site_fract_y
_atom_site_fract_z
Sr1 Sr 0.000 0.000 0.000
Ag1 Ag 0.250 0.250 0.250
As1 As 0.000 0.000 0.500
As2 As 0.250 0.250 0.750
```

=====

This record from OQMD via LeMat-Bulk describes a relaxed structure of SrAg2As2. The functional is PBE.

Distance to the lowest polymorph of the same formula, meV/atom: 0.0

Structure (CIF):
```
data_SrAg2As2
_chemical_formula_sum 'Sr2 Ag4 As4'
_symmetry_space_group_name_H-M 'I 4/m m m'
_symmetry_Int_Tables_number 139
_symmetry_space_group_name_Hall '-I 4 2'
_cell_length_a 4.415
_cell_length_b 4.415
_cell_length_c 11.559
_cell_angle_alpha 90.00
_cell_angle_beta 90.00
_cell_angle_gamma 90.00
loop_
_atom_site_label
_atom_site_type_symbol
_atom_site_fract_x
_atom_site_fract_y
_atom_site_fract_z
Sr1 Sr 0.000 0.000 0.000
Ag1 Ag 0.000 0.500 0.250
As1 As 0.000 0.000 0.388
```

=====

This record from OQMD via LeMat-Bulk describes a relaxed structure of SrAg2As2. The functional is PBE.

Distance to the lowest polymorph of the same formula, meV/atom: 73.0

Structure (CIF):
```
data_SrAg2As2
_chemical_formula_sum 'Sr3 Ag6 As6'
_symmetry_space_group_name_H-M 'R -3 m'
_symmetry_Int_Tables_number 166
_symmetry_space_group_name_Hall '-R 3 2"'
_cell_length_a 4.6447
_cell_length_b 4.6447
_cell_length_c 18.6706
_cell_angle_alpha 90.00
_cell_angle_beta 90.00
_cell_angle_gamma 120.00
loop_
_atom_site_label
_atom_site_type_symbol
_atom_site_fract_x
_atom_site_fract_y
_atom_site_fract_z
Sr1 Sr 0.0000 0.0000 0.0000
Ag1 Ag 0.0000 0.0000 0.2273
As1 As 0.0000 0.0000 0.4321
```

=====

This record from OQMD via LeMat-Bulk describes a relaxed structure of SrAgAs. The functional is PBE.

E_tot, eV/atom: -3.554

Structure (CIF):
```
data_SrAgAs
_chemical_formula_sum 'Sr2 Ag2 As2'
_symmetry_space_group_name_H-M 'P 63/m m c'
_symmetry_Int_Tables_number 194
_symmetry_space_group_name_Hall '-P 6c 2c'
_cell_length_a 5.2369
_cell_length_b 5.2369
_cell_length_c 6.2632
_cell_angle_alpha 90.00
_cell_angle_beta 90.00
_cell_angle_gamma 120.00
loop_
_atom_site_label
_atom_site_type_symbol
_atom_site_fract_x
_atom_site_fract_y
_atom_site_fract_z
Sr1 Sr 0.3333 0.6667 0.2500
Ag1 Ag 0.0000 0.0000 0.0000
As1 As 0.3333 0.6667 0.7500
```

=====

This record from OQMD via LeMat-Bulk describes a relaxed structure of SrAg2As4. The functional is PBE.

E_tot, eV/atom: -3.917

Structure (CIF):
```
data_SrAg2As4
_chemical_formula_sum 'Sr8 Ag16 As32'
_symmetry_space_group_name_H-M 'F d d d'
_symmetry_Int_Tables_number 70
_cell_length_a 6.890
_cell_length_b 8.698
_cell_length_c 22.307
_cell_angle_alpha 90.00
_cell_angle_beta 90.00
_cell_angle_gamma 90.00
loop_
_symmetry_equiv_pos_as_xyz
'x,y,z'
'-x,-y,-z'
'-x+1/4,-y+1/4,z'
'x+1/4,y+1/4,-z'
'x,-y+1/4,-z+1/4'
'-x,y+1/4,z+1/4'
'-x+1/4,y,-z+1/4'
'x+1/4,-y,z+1/4'
'x,y+1/2,z+1/2'
'-x,-y+1/2,-z+1/2'
'-x+1/4,-y+3/4,z+1/2'
'x+1/4,y+3/4,-z+1/2'
'x,-y+3/4,-z+3/4'
'-x,y+3/4,z+3/4'
'-x+1/4,y+1/2,-z+3/4'
'x+1/4,-y+1/2,z+3/4'
'x+1/2,y,z+1/2'
'-x+1/2,-y,-z+1/2'
'-x+3/4,-y+1/4,z+1/2'
'x+3/4,y+1/4,-z+1/2'
'x+1/2,-y+1/4,-z+3/4'
'-x+1/2,y+1/4,z+3/4'
'-x+3/4,y,-z+3/4'
'x+3/4,-y,z+3/4'
'x+1/2,y+1/2,z'
'-x+1/2,-y+1/2,-z'
'-x+3/4,-y+3/4,z'
'x+3/4,y+3/4,-z'
'x+1/2,-y+3/4,-z+1/4'
'-x+1/2,y+3/4,z+1/4'
'-x+3/4,y+1/2,-z+1/4'
'x+3/4,-y+1/2,z+1/4'
loop_
_atom_site_label
_atom_site_type_symbol
_atom_site_fract_x
_atom_site_fract_y
_atom_site_fract_z
Sr1 Sr 0.125 0.125 0.125
Ag1 Ag 0.125 0.125 0.287
As1 As 0.043 0.253 0.696
```

=====

This record from OQMD via LeMat-Bulk describes a relaxed structure of Ta2AgAs. The functional is PBE.

E_tot, eV/atom: -7.215
M_tot, μB/f.u.: 0.001

Structure (CIF):
```
data_Ta2AgAs
_chemical_formula_sum 'Ta8 Ag4 As4'
_symmetry_space_group_name_H-M 'F -4 3 m'
_symmetry_Int_Tables_number 216
_symmetry_space_group_name_Hall 'F -4 2 3'
_cell_length_a 6.595
_cell_length_b 6.595
_cell_length_c 6.595
_cell_angle_alpha 90.00
_cell_angle_beta 90.00
_cell_angle_gamma 90.00
loop_
_atom_site_label
_atom_site_type_symbol
_atom_site_fract_x
_atom_site_fract_y
_atom_site_fract_z
Ta1 Ta 0.000 0.000 0.000
Ta2 Ta 0.250 0.250 0.250
Ag1 Ag 0.250 0.250 0.750
As1 As 0.000 0.000 0.500
```

=====

This record from OQMD via LeMat-Bulk describes a relaxed structure of TaAg2As2. The functional is PBE.

E_tot, eV/atom: -4.924
M_tot, μB/f.u.: 0.012

Structure (CIF):
```
data_TaAg2As2
_chemical_formula_sum 'Ta2 Ag4 As4'
_symmetry_space_group_name_H-M 'I 4/m m m'
_symmetry_Int_Tables_number 139
_symmetry_space_group_name_Hall '-I 4 2'
_cell_length_a 3.740
_cell_length_b 3.740
_cell_length_c 12.666
_cell_angle_alpha 90.00
_cell_angle_beta 90.00
_cell_angle_gamma 90.00
loop_
_atom_site_label
_atom_site_type_symbol
_atom_site_fract_x
_atom_site_fract_y
_atom_site_fract_z
Ta1 Ta 0.000 0.000 0.000
Ag1 Ag 0.000 0.500 0.250
As1 As 0.000 0.000 0.403
```

=====

This record from OQMD via LeMat-Bulk describes a relaxed structure of TcAgAs. The functional is PBE.

M_tot, μB/f.u.: 0.021
Distance to the lowest polymorph of the same formula, meV/atom: 0.0

Structure (CIF):
```
data_TcAgAs
_chemical_formula_sum 'Tc4 Ag4 As4'
_symmetry_space_group_name_H-M 'F -4 3 m'
_symmetry_Int_Tables_number 216
_symmetry_space_group_name_Hall 'F -4 2 3'
_cell_length_a 5.949
_cell_length_b 5.949
_cell_length_c 5.949
_cell_angle_alpha 90.00
_cell_angle_beta 90.00
_cell_angle_gamma 90.00
loop_
_atom_site_label
_atom_site_type_symbol
_atom_site_fract_x
_atom_site_fract_y
_atom_site_fract_z
Tc1 Tc 0.000 0.000 0.000
Ag1 Ag 0.000 0.000 0.500
As1 As 0.250 0.250 0.750
```